Compound: PaGaTcOs
Source: Alexandria
Functional: PBE
Structure: optimized geometry

Computed properties:
- M_tot (μB per cell) = 0.000
- ΔE_f (eV per atom) = -0.332
- crystal system = orthorhombic
- energy above the lowest structure with this stoichiometry (kcal/mol of atoms) = 0.00
- calculated density (g cm⁻³) = 14.23

abc: 3.6562 4.3325 4.3390
angles: 90.00 90.00 90.00
Space group Pmmm (No. 47)
One atom of each set of equivalent atoms:
Pa (0.0000, 0.0000, 0.0000) x1
Ga (0.0000, 0.5000, 0.5000) x1
Tc (0.5000, 0.5000, 0.0000) x1
Os (0.5000, 0.0000, 0.5000) x1